Compound: Sr3Sn3Au8
Source: the Alexandria database
Functional: GGA-PBE
Structure: relaxed

a = 4.764 Å, b = 9.729 Å, c = 14.448 Å
α = 90.00°, β = 90.00°, γ = 90.00°
Fractional coordinates of all 28 atoms:
Au  0.500  0.781  0.866
Au  0.500  0.781  0.129
Au  0.000  0.281  0.371
Au  0.000  0.719  0.629
Au  0.000  0.281  0.634
Au  0.000  0.719  0.366
Au  0.000  0.199  0.002
Au  0.500  0.301  0.502
Au  0.500  0.219  0.871
Au  0.500  0.879  0.342
Au  0.000  0.379  0.158
Au  0.500  0.699  0.498
Au  0.000  0.801  0.998
Au  0.000  0.621  0.842
Au  0.500  0.121  0.658
Au  0.500  0.219  0.134
Sn  0.000  0.657  0.174
Sn  0.500  0.843  0.674
Sn  0.000  0.500  0.500
Sn  0.000  0.343  0.826
Sn  0.500  0.000  0.000
Sn  0.500  0.157  0.326
Sr  0.500  0.500  0.000
Sr  0.500  0.507  0.304
Sr  0.000  0.000  0.500
Sr  0.500  0.493  0.696
Sr  0.000  0.007  0.196
Sr  0.000  0.993  0.804

- formation enthalpy at 0 K (eV per atom) = -0.565
- energy relative to the lowest polymorph listed for this composition (meV per atom) = 0.0

=====

Compound: SrReN3
Source: the Alexandria database
Functional: GGA-PBE
Structure: relaxed

a = 5.774 Å, b = 4.674 Å, c = 6.811 Å
α = 84.26°, β = 69.69°, γ = 89.92°
Fractional coordinates of all 10 atoms:
Sr  0.504  0.903  0.833
Sr  0.925  0.313  0.054
N  0.462  0.390  0.032
N  0.014  0.736  0.723
N  0.529  0.258  0.475
N  0.005  0.848  0.886
N  0.720  0.401  0.470
N  0.137  0.930  0.294
Re  0.325  0.243  0.302
Re  0.989  0.595  0.490

- ΔE_f (raw) (eV per atom) = -0.251

=====

Number 1: magnetic moment 0.00 μB/cell, energy -3.656 eV per atom. Number 2: magnetic moment 0.00 μB/cell, energy -8.072 eV per atom.